Entry from Alexandria via LeMat-Bulk: a geometry-optimized La5Sm2Y2 structure (PBE).

Values from the calculation:
M_tot = 0.00 μB per cell
Electronic total energy = -90.701 eV per cell
Calculated volume = 626 Å³ per cell
Energy above the lowest structure with this stoichiometry = 162.9 meV/atom
Calculated formation energy = 0.18 eV per atom

Cell lengths 11.8785, 7.0043, 10.2011 Å; angles 110.08, 125.61, 90.00 degrees
With the nearest neighbours (Å) after each atom.
Atoms (fractional coordinates):
La  0.1829  0.6682  0.8970  2 La 3.14-3.22, 1 Y 3.32, 1 Sm 3.42
La  0.8171  0.7712  0.1030  2 La 3.14-3.22, 1 Y 3.32, 1 Sm 3.42
La  0.2141  0.1682  0.8970  2 La 3.14-3.22, 1 Y 3.32, 1 Sm 3.42
La  0.7859  0.2712  0.1030  2 La 3.14-3.22, 1 Y 3.32, 1 Sm 3.42
La  0.3705  0.0215  0.2873  2 La 3.14-3.20, 1 Y 3.38, 1 Sm 3.45
La  0.6295  0.7342  0.7127  2 La 3.14-3.20, 1 Y 3.38, 1 Sm 3.45
La  0.4167  0.5215  0.2873  2 La 3.14-3.20, 1 Y 3.38, 1 Sm 3.45
La  0.5833  0.2342  0.7127  2 La 3.14-3.20, 1 Y 3.38, 1 Sm 3.45
La  0.9936  0.6431  0.5000  4 La 3.22-3.51, 1 Sm 3.29
La  0.0064  0.1431  0.5000  4 La 3.22-3.51, 1 Sm 3.29
Sm  0.0000  0.0661  0.0000  6 La 3.42-3.77, 2 Sm 3.77
Sm  0.5000  0.5661  0.0000  6 La 3.42-3.77, 2 Sm 3.77
Sm  0.2553  0.3489  0.5000  3 La 3.29-3.45, 2 Y 3.60
Sm  0.7447  0.8489  0.5000  3 La 3.29-3.45, 2 Y 3.60
Y  0.1334  0.6690  0.2552  3 La 3.32-3.54, 1 Sm 3.60, 1 Y 3.68
Y  0.8666  0.4139  0.7448  3 La 3.32-3.54, 1 Sm 3.60, 1 Y 3.68
Y  0.6218  0.1690  0.2552  3 La 3.32-3.54, 1 Sm 3.60, 1 Y 3.68
Y  0.3782  0.9139  0.7448  3 La 3.32-3.54, 1 Sm 3.60, 1 Y 3.68


Entry from Alexandria via LeMat-Bulk: a geometry-optimized K2ZnP2S6 structure (PBE).

Values from the calculation:
M_tot = 0.00 μB per cell
Formation energy without anion corrections = -54.6 kJ per mole of atoms
Electronic total energy = -45.278 eV per cell
Calculated volume = 264 Å³ per cell

Cell lengths 6.7383, 6.7383, 7.7574 Å; angles 64.26, 64.26, 60.00 degrees
With the nearest neighbours (Å) after each atom.
Atoms (fractional coordinates):
K  0.7688  0.7688  0.6937  9 S 3.38-3.45
K  0.2312  0.2312  0.3063  9 S 3.38-3.45
Zn  0.0000  0.0000  0.0000  6 S 2.60
P  0.4405  0.4405  0.6786  3 S 2.03
P  0.5595  0.5595  0.3214  3 S 2.03
S  0.7494  0.7494  0.2649  1 P 2.03
S  0.2362  0.7494  0.2649  1 P 2.03
S  0.7494  0.2362  0.2649  1 P 2.03
S  0.2506  0.7638  0.7351  1 P 2.03
S  0.7638  0.2506  0.7351  1 P 2.03
S  0.2506  0.2506  0.7351  1 P 2.03


Entry from Alexandria via LeMat-Bulk: a geometry-optimized MgAg6Au8 structure (PBE).

Values from the calculation:
M_tot = 0.00 μB per cell
Electronic total energy = -45.080 eV per cell
Calculated volume = 285 Å³ per cell
Energy above the lowest structure with this stoichiometry = 0.0 meV/atom
Calculated formation energy = -0.01 eV per atom

Cell lengths 5.1712, 7.9726, 7.9726 Å; angles 120.00, 90.00, 90.00 degrees
With the nearest neighbours (Å) after each atom.
Atoms (fractional coordinates):
Mg  0.5000  0.0000  0.0000  6 Au 2.69
Ag  0.6814  0.6478  0.1075  6 Au 2.82-3.15, 3 Ag 2.82-3.00
Ag  0.6814  0.8925  0.5402  6 Au 2.82-3.15, 3 Ag 2.82-3.00
Ag  0.6814  0.4598  0.3522  6 Au 2.82-3.15, 3 Ag 2.82-3.00
Ag  0.3186  0.3522  0.8925  6 Au 2.82-3.15, 3 Ag 2.82-3.00
Ag  0.3186  0.1075  0.4598  6 Au 2.82-3.15, 3 Ag 2.82-3.00
Ag  0.3186  0.5402  0.6478  6 Au 2.82-3.15, 3 Ag 2.82-3.00
Au  0.8204  0.0419  0.2838  1 Mg 2.69, 3 Au 2.76-2.81, 4 Ag 2.82-2.92
Au  0.8204  0.7162  0.7581  1 Mg 2.69, 3 Au 2.76-2.81, 4 Ag 2.82-2.92
Au  0.8204  0.2419  0.9581  1 Mg 2.69, 3 Au 2.76-2.81, 4 Ag 2.82-2.92
Au  0.1796  0.9581  0.7162  1 Mg 2.69, 3 Au 2.76-2.81, 4 Ag 2.82-2.92
Au  0.1796  0.2838  0.2419  1 Mg 2.69, 3 Au 2.76-2.81, 4 Ag 2.82-2.92
Au  0.1796  0.7581  0.0419  1 Mg 2.69, 3 Au 2.76-2.81, 4 Ag 2.82-2.92
Au  0.8097  0.3333  0.6667  3 Au 2.76, 3 Ag 3.07
Au  0.1903  0.6667  0.3333  3 Au 2.76, 3 Ag 3.07


Entry from Alexandria via LeMat-Bulk: a geometry-optimized Cr3Ir structure (PBE).

Values from the calculation:
M_tot = 0.00 μB per cell
Electronic total energy = -37.423 eV per cell
Calculated volume = 50 Å³ per cell
Calculated formation energy = 0.08 eV per atom

Cell lengths 2.6205, 4.5153, 4.5138 Å; angles 98.97, 90.00, 106.87 degrees
With the nearest neighbours (Å) after each atom.
Atoms (fractional coordinates):
Cr  0.0037  0.0073  0.9973  9 Cr 2.56-2.64, 3 Ir 2.60-2.63
Cr  0.4963  0.9927  0.5027  9 Cr 2.56-2.64, 3 Ir 2.60-2.63
Cr  0.2500  0.5000  0.7500  8 Cr 2.56-2.64, 4 Ir 2.61
Ir  0.7500  0.5000  0.2500  10 Cr 2.60-2.63, 2 Ir 2.62


Entry from Alexandria via LeMat-Bulk: a geometry-optimized GdCd2 structure (PBE).

Values from the calculation:
M_tot = 15.04 μB per cell
Electronic total energy = -33.523 eV per cell
Calculated volume = 148 Å³ per cell
Calculated formation energy = -0.28 eV per atom

Cell lengths 5.9410, 5.9410, 5.9410 Å; angles 60.00, 60.00, 60.00 degrees
With the nearest neighbours (Å) after each atom.
Atoms (fractional coordinates):
Gd  0.0000  0.0000  0.0000  12 Cd 3.48, 4 Gd 3.64
Gd  0.2500  0.2500  0.2500  12 Cd 3.48, 4 Gd 3.64
Cd  0.1250  0.6250  0.6250  6 Cd 2.97
Cd  0.6250  0.1250  0.6250  6 Cd 2.97
Cd  0.6250  0.6250  0.6250  6 Cd 2.97
Cd  0.6250  0.6250  0.1250  6 Cd 2.97


Entry from Alexandria via LeMat-Bulk: a geometry-optimized La5HoTe6 structure (PBE).

Values from the calculation:
M_tot = 0.01 μB per cell
Formation energy without anion corrections = -148.3 kJ per mole of atoms
Electronic total energy = -66.514 eV per cell
Calculated volume = 397 Å³ per cell

Cell lengths 7.8693, 7.8693, 7.8738 Å; angles 99.60, 99.60, 120.21 degrees
With the nearest neighbours (Å) after each atom.
Atoms (fractional coordinates):
Te  0.4019  0.0796  0.2412  1 Ho 3.10, 5 La 3.21-3.26
Te  0.9204  0.5981  0.7588  1 Ho 3.10, 5 La 3.21-3.26
Te  0.2383  0.2383  0.7517  1 Ho 3.12, 5 La 3.23-3.30
Te  0.7617  0.7617  0.2483  1 Ho 3.12, 5 La 3.23-3.30
Te  0.0796  0.4019  0.2412  1 Ho 3.10, 5 La 3.21-3.26
Te  0.5981  0.9204  0.7588  1 Ho 3.10, 5 La 3.21-3.26
Ho  0.0000  0.0000  0.0000  6 Te 3.10-3.12
La  0.8269  0.1731  0.5000  6 Te 3.21-3.26
La  0.6655  0.3345  0.0000  6 Te 3.21-3.23
La  0.5000  0.5000  0.5000  6 Te 3.22-3.30
La  0.3345  0.6655  0.0000  6 Te 3.21-3.23
La  0.1731  0.8269  0.5000  6 Te 3.21-3.26


Entry from Alexandria via LeMat-Bulk: a geometry-optimized AgMoN3 structure (PBE).

Values from the calculation:
M_tot = 0.00 μB per cell
Formation energy without anion corrections = 244.5 kJ per mole of atoms
Electronic total energy = -25.990 eV per cell
Calculated volume = 60 Å³ per cell

Cell lengths 3.9040, 3.9040, 3.9040 Å; angles 90.00, 90.00, 90.00 degrees
With the nearest neighbours (Å) after each atom.
Atoms (fractional coordinates):
Mo  0.5000  0.5000  0.5000  12 N 2.76
Ag  0.0000  0.0000  0.0000  6 N 1.95
N  0.0000  0.5000  0.0000  2 Ag 1.95
N  0.0000  0.0000  0.5000  2 Ag 1.95
N  0.5000  0.0000  0.0000  2 Ag 1.95


Entry from Alexandria via LeMat-Bulk: a geometry-optimized Ba2TeH2 structure (PBE).

Values from the calculation:
M_tot = 0.00 μB per cell
Electronic total energy = -18.793 eV per cell
Calculated volume = 136 Å³ per cell
Energy above the lowest structure with this stoichiometry = 0.0 meV/atom

Cell lengths 4.4078, 4.4078, 7.6643 Å; angles 73.29, 73.29, 90.00 degrees
With the nearest neighbours (Å) after each atom.
Atoms (fractional coordinates):
H  0.7500  0.2500  0.5000  4 Ba 2.67
H  0.2500  0.7500  0.5000  4 Ba 2.67
Te  0.0000  0.0000  0.0000  8 Ba 3.70, 8 H 4.14
Ba  0.3580  0.3580  0.2839  4 H 2.67
Ba  0.6420  0.6420  0.7161  4 H 2.67


Entry from Alexandria via LeMat-Bulk: a geometry-optimized SmAl3Ir structure (PBE).

Values from the calculation:
M_tot = 0.00 μB per cell
Electronic total energy = -114.191 eV per cell
Calculated volume = 389 Å³ per cell
Energy above the lowest structure with this stoichiometry = 0.0 meV/atom
Calculated formation energy = -0.75 eV per atom

Cell lengths 4.2112, 8.4269, 10.9746 Å; angles 90.00, 90.00, 90.00 degrees
With the nearest neighbours (Å) after each atom.
Atoms (fractional coordinates):
Sm  0.7500  0.8056  0.0174  9 Al 3.09-3.39, 2 Ir 3.22
Sm  0.2500  0.6944  0.5174  9 Al 3.09-3.39, 2 Ir 3.22
Sm  0.7500  0.3056  0.4826  9 Al 3.09-3.39, 2 Ir 3.22
Sm  0.2500  0.1944  0.9826  9 Al 3.09-3.39, 2 Ir 3.22
Al  0.2500  0.5516  0.0830  3 Ir 2.56-2.60, 1 Al 2.72
Al  0.7500  0.4484  0.9170  3 Ir 2.56-2.60, 1 Al 2.72
Al  0.2500  0.0516  0.4170  3 Ir 2.56-2.60, 1 Al 2.72
Al  0.7500  0.9484  0.5830  3 Ir 2.56-2.60, 1 Al 2.72
Al  0.2500  0.3892  0.7126  2 Ir 2.43-2.46
Al  0.7500  0.1108  0.2126  2 Ir 2.43-2.46
Al  0.2500  0.8892  0.7874  2 Ir 2.43-2.46
Al  0.7500  0.6498  0.7231  2 Ir 2.57, 1 Al 2.72
Al  0.2500  0.3502  0.2769  2 Ir 2.57, 1 Al 2.72
Al  0.7500  0.1498  0.7769  2 Ir 2.57, 1 Al 2.72
Al  0.7500  0.6108  0.2874  2 Ir 2.43-2.46
Al  0.2500  0.8502  0.2231  2 Ir 2.57, 1 Al 2.72
Ir  0.2500  0.1105  0.6456  7 Al 2.43-2.60
Ir  0.2500  0.6105  0.8544  7 Al 2.43-2.60
Ir  0.7500  0.3895  0.1456  7 Al 2.43-2.60
Ir  0.7500  0.8895  0.3544  7 Al 2.43-2.60


Entry from Alexandria via LeMat-Bulk: a geometry-optimized Ti2InP structure (PBE).

Values from the calculation:
M_tot = 0.00 μB per cell
Electronic total energy = -26.629 eV per cell
Calculated volume = 73 Å³ per cell
Energy above the lowest structure with this stoichiometry = 0.0 meV/atom
Calculated formation energy = -0.67 eV per atom

Cell lengths 3.4003, 3.4003, 7.5808 Å; angles 77.04, 77.04, 60.00 degrees
With the nearest neighbours (Å) after each atom.
Atoms (fractional coordinates):
Ti  0.0623  0.0623  0.8132  3 P 2.39
Ti  0.2712  0.2712  0.1864  3 P 2.40
In  0.4995  0.4995  0.5016  6 Ti 3.01-3.03
P  0.6671  0.6671  0.9988  6 Ti 2.39-2.40